# MnWNO2 (GGA+U, relaxed)
data_MnWNO2
_chemical_formula_sum 'Mn1 W1 N1 O2'
_cell_length_a 3.927
_cell_length_b 3.927
_cell_length_c 4.061
_cell_angle_alpha 90.00
_cell_angle_beta 90.00
_cell_angle_gamma 90.00
_space_group_name_H-M_alt 'P 4/m m m'
_space_group_IT_number 123
_space_group_name_Hall '-P 4 2'
loop_
_atom_site_label
_atom_site_fract_x
_atom_site_fract_y
_atom_site_fract_z
Mn1 0.000 0.000 0.000
W1 0.500 0.500 0.500
N1 0.500 0.500 0.000
O1 0.000 0.500 0.500
# Electronic total energy = -7.427 eV/atom
# Fermi-level density of states = 0.74 states/eV per cell
# Size of the total moment = 1.13 μB/atom
# Mass density = 7.5 g/cm3